VASP calculation (GGA-PBE) on a relaxed Cs6PS crystal.

The space group is No. 2. For the total energy, the calculation gives -17.8 eV/cell. As for the density of states at the Fermi level: 2.63 states/eV/cell. The value obtained for the magnetic moment is 0.0 μB per formula unit. Its uncorrected formation energy is -395 meV per atom.

Cell and atoms, written as extended XYZ:
```
8
Lattice="8.879 0.000 0.000 -4.427 7.698 0.000 -0.021 -5.118 8.134" Properties=species:S:1:pos:R:3 pbc="T T T"
Cs -1.213 2.535 2.014
Cs 1.561 -2.798 6.120
Cs 2.797 -0.203 2.011
Cs 1.634 2.784 6.123
Cs 2.869 5.379 2.014
Cs 5.643 0.045 6.120
P 4.429 -2.559 4.067
S 0.000 0.000 0.000
```

---

VASP calculation (GGA-PBE) on a relaxed TbEuAlHg crystal.

The space group is No. 216. For the total energy, the calculation gives -20.4 eV/cell. As for the density of states at the Fermi level: 7.17 states/eV/cell. The energy of formation comes out at -0.36 eV/atom. The value obtained for the magnetic moment is 7.3 μB per formula unit.

Cell and atoms, written as extended XYZ:
```
4
Lattice="0.000 3.771 3.771 3.771 0.000 3.771 3.771 3.771 0.000" Properties=species:S:1:pos:R:3 pbc="T T T"
Tb 0.000 0.000 0.000
Eu 3.771 3.771 3.771
Al 5.656 5.656 5.656
Hg 1.885 1.885 1.885
```

---

VASP calculation (GGA-PBE) on a relaxed La2ThIr2 crystal.

The space group is No. 36. For the total energy, the calculation gives -76.1 eV/cell. As for the density of states at the Fermi level: 8.78 states/eV/cell. The energy of formation comes out at -0.61 eV/atom. The value obtained for the magnetic moment is 0.0 μB per formula unit.

Cell and atoms, written as extended XYZ:
```
10
Lattice="2.419 -7.761 0.000 2.419 7.761 0.000 0.000 0.000 7.343" Properties=species:S:1:pos:R:3 pbc="T T T"
La 2.419 6.625 3.672
La 2.419 3.909 6.070
La 2.419 -3.909 2.399
La 2.419 -6.625 0.000
Th 2.419 1.188 3.684
Th 2.419 -1.188 0.012
Ir 2.419 5.430 1.083
Ir 2.419 2.325 1.193
Ir 2.419 -2.325 4.864
Ir 2.419 -5.430 4.755
```

---

VASP calculation (GGA-PBE) on a relaxed ScTlIrPd2 crystal.

The space group is No. 123. For the total energy, the calculation gives -23.8 eV/cell. As for the density of states at the Fermi level: 5.26 states/eV/cell. The energy of formation comes out at 0.83 eV/atom. The value obtained for the magnetic moment is 0.0 μB per formula unit.

Cell and atoms, written as extended XYZ:
```
5
Lattice="4.909 0.000 0.000 0.000 4.909 0.000 0.000 0.000 5.041" Properties=species:S:1:pos:R:3 pbc="T T T"
Sc 0.000 0.000 0.000
Tl 2.454 2.454 2.520
Ir 2.454 2.454 0.000
Pd 0.000 2.454 2.520
Pd 2.454 0.000 2.520
```

---

VASP calculation (GGA-PBE) on a relaxed PrHo3S4 crystal.

The space group is No. 221. For the total energy, the calculation gives -50.6 eV/cell. As for the density of states at the Fermi level: 4.47 states/eV/cell. The value obtained for the magnetic moment is 0.0 μB per formula unit. As for the energy above the most stable polymorph in this dataset: 35 meV per atom. Its uncorrected formation energy is -1942 meV per atom.

Cell and atoms, written as extended XYZ:
```
8
Lattice="5.582 0.000 0.000 0.000 5.582 0.000 0.000 0.000 5.582" Properties=species:S:1:pos:R:3 pbc="T T T"
Pr 0.000 0.000 0.000
Ho 0.000 2.791 2.791
Ho 2.791 0.000 2.791
Ho 2.791 2.791 0.000
S 0.000 0.000 2.791
S 0.000 2.791 0.000
S 2.791 0.000 0.000
S 2.791 2.791 2.791
```

---

VASP calculation (GGA-PBE) on a relaxed Ac4Pt2Au5 crystal.

The space group is No. 10. For the total energy, the calculation gives -54.8 eV/cell. As for the density of states at the Fermi level: 5.98 states/eV/cell. The energy of formation comes out at -0.90 eV/atom. The value obtained for the magnetic moment is 0.0 μB per formula unit.

Cell and atoms, written as extended XYZ:
```
11
Lattice="7.741 0.000 0.000 0.000 4.169 0.000 -0.018 0.000 9.236" Properties=species:S:1:pos:R:3 pbc="T T T"
Ac 1.729 0.000 3.285
Ac 1.846 0.000 8.240
Ac 5.877 0.000 0.996
Ac 5.994 0.000 5.951
Pt 0.518 2.084 1.282
Pt 7.205 2.084 7.954
Au 1.116 2.084 5.692
Au 3.368 2.084 1.363
Au 3.862 2.084 4.618
Au 4.355 2.084 7.873
Au 6.608 2.084 3.544
```

---

VASP calculation (GGA-PBE) on a relaxed LaAl6Pt3 crystal.

The space group is No. 11. For the total energy, the calculation gives -109.2 eV/cell. As for the density of states at the Fermi level: 9.83 states/eV/cell. The energy of formation comes out at -0.91 eV/atom. The value obtained for the magnetic moment is 0.0 μB per formula unit.

Cell and atoms, written as extended XYZ:
```
20
Lattice="8.917 0.000 0.000 0.000 4.322 0.000 -0.367 0.000 9.553" Properties=species:S:1:pos:R:3 pbc="T T T"
La 0.349 1.080 2.883
La 8.202 3.241 6.669
Al 0.927 3.241 0.321
Al 1.609 1.080 6.025
Al 2.585 3.241 2.492
Al 2.510 3.241 7.576
Al 3.677 1.080 4.069
Al 3.828 1.080 8.681
Al 4.723 3.241 0.871
Al 4.874 3.241 5.483
Al 6.041 1.080 1.976
Al 5.966 1.080 7.061
Al 6.942 3.241 3.527
Al 7.624 1.080 9.232
Pt 1.269 1.080 8.568
Pt 2.353 3.241 4.975
Pt 3.484 1.080 1.512
Pt 5.067 3.241 8.041
Pt 6.198 1.080 4.577
Pt 7.282 3.241 0.984
```

---

VASP calculation (GGA-PBE) on a relaxed ThSiClO4 crystal.

The space group is No. 12. For the total energy, the calculation gives -106.8 eV/cell. As for the density of states at the Fermi level: 4.32 states/eV/cell. The value obtained for the magnetic moment is 1.0 μB per formula unit. Its uncorrected formation energy is -2699 meV per atom.

Cell and atoms, written as extended XYZ:
```
14
Lattice="5.316 -3.486 0.000 5.316 3.486 0.000 -1.539 0.000 6.616" Properties=species:S:1:pos:R:3 pbc="T T T"
Th 1.951 0.000 2.301
Th 7.141 0.000 4.315
Si 0.305 0.000 5.070
Si 8.787 0.000 1.546
Cl 4.066 0.000 4.534
Cl 5.027 0.000 2.082
O 1.051 1.262 4.292
O -0.228 0.000 1.776
O 2.100 0.000 0.060
O 1.051 -1.262 4.292
O 8.041 1.262 2.324
O 6.992 0.000 6.556
O 9.320 0.000 4.840
O 8.041 -1.262 2.324
```